# 1
VASP calculation (GGA-PBE) on a relaxed Si2BiB crystal.

a = 5.483 Å, b = 5.483 Å, c = 6.536 Å
α = 65.20°, β = 65.20°, γ = 90.00°
Atoms (fractional coordinates):
Si (0.520, 0.125, 0.250)
Si (0.230, 0.625, 0.250)
Si (0.375, 0.480, 0.750)
Si (0.875, 0.770, 0.750)
B (0.500, 0.500, 0.000)
B (0.250, 0.750, 0.500)
Bi (0.000, 0.000, 0.000)
Bi (0.750, 0.250, 0.500)

Computed properties:
**Polymorph energy (0 for the lowest one)**: 0.0 meV/atom
**Uncorrected formation energy**: 302 meV per atom
**Symmetry**: I-42d
**Total magnetization**: 0.00 μB per cell


# 2
VASP calculation (GGA-PBE) on a relaxed Si3BiB crystal.

a = 5.409 Å, b = 5.409 Å, c = 5.409 Å
α = 90.00°, β = 90.00°, γ = 90.00°
Atoms (fractional coordinates):
Si (0.000, 0.500, 0.000)
Si (0.000, 0.000, 0.500)
Si (0.500, 0.000, 0.000)
B (0.500, 0.500, 0.500)
Bi (0.000, 0.000, 0.000)

Computed properties:
**Polymorph energy (0 for the lowest one)**: 1710.8 meV/atom
**Uncorrected formation energy**: 2430 meV per atom
**Symmetry**: Pm-3m
**Total magnetization**: 0.00 μB per cell


# 3
VASP calculation (GGA-PBE) on a relaxed Si2BiB crystal.

a = 4.723 Å, b = 4.723 Å, c = 4.723 Å
α = 60.00°, β = 60.00°, γ = 60.00°
Atoms (fractional coordinates):
Si (0.250, 0.250, 0.250)
Si (0.750, 0.750, 0.750)
B (0.000, 0.000, 0.000)
Bi (0.500, 0.500, 0.500)

Computed properties:
**Polymorph energy (0 for the lowest one)**: 1104.5 meV/atom
**Uncorrected formation energy**: 1407 meV per atom
**Symmetry**: Fm-3m
**Total magnetization**: 0.00 μB per cell


# 4
VASP calculation (GGA-PBE) on a relaxed Si3BiB crystal.

a = 4.403 Å, b = 4.403 Å, c = 4.403 Å
α = 90.00°, β = 90.00°, γ = 90.00°
Atoms (fractional coordinates):
Si (0.000, 0.500, 0.000)
Si (0.000, 0.000, 0.500)
Si (0.500, 0.000, 0.000)
B (0.000, 0.000, 0.000)
Bi (0.500, 0.500, 0.500)

Computed properties:
**Polymorph energy (0 for the lowest one)**: 0.0 meV/atom
**Uncorrected formation energy**: 719 meV per atom
**Symmetry**: Pm-3m
**Total magnetization**: 0.00 μB per cell


# 5
VASP calculation (GGA-PBE) on a relaxed SiBi2B crystal.

a = 6.217 Å, b = 6.217 Å, c = 7.111 Å
α = 64.08°, β = 64.08°, γ = 90.00°
Atoms (fractional coordinates):
Si (0.000, 0.000, 0.000)
Si (0.750, 0.250, 0.500)
B (0.500, 0.500, 0.000)
B (0.250, 0.750, 0.500)
Bi (0.575, 0.125, 0.250)
Bi (0.175, 0.625, 0.250)
Bi (0.375, 0.425, 0.750)
Bi (0.875, 0.825, 0.750)

Computed properties:
**Polymorph energy (0 for the lowest one)**: 0.0 meV/atom
**Uncorrected formation energy**: 775 meV per atom
**Symmetry**: I-42d
**Total magnetization**: 0.00 μB per cell


# 6
VASP calculation (GGA-PBE) on a relaxed SiBi2B crystal.

a = 4.971 Å, b = 4.971 Å, c = 4.971 Å
α = 60.00°, β = 60.00°, γ = 60.00°
Atoms (fractional coordinates):
Si (0.500, 0.500, 0.500)
B (0.000, 0.000, 0.000)
Bi (0.250, 0.250, 0.250)
Bi (0.750, 0.750, 0.750)

Computed properties:
**Polymorph energy (0 for the lowest one)**: 341.8 meV/atom
**Uncorrected formation energy**: 1117 meV per atom
**Symmetry**: Fm-3m
**Total magnetization**: 0.00 μB per cell